Entry 1:
Below is a relaxed MnTeO3 crystal, with properties calculated at the PBE+U level.

abc: 4.138 4.138 4.138
angles: 90.00 90.00 90.00
Sites, in units of the cell vectors:
1 Mn 0.000 0.000 0.000
2 Te 0.500 0.500 0.500
3 O 0.000 0.500 0.500
4 O 0.500 0.000 0.500
5 O 0.500 0.500 0.000

* DFT total energy: -5.76 eV per atom


Entry 2:
Below is a relaxed MnTeO3 crystal, with properties calculated at the PBE+U level.

abc: 6.211 7.887 5.510
angles: 90.00 90.00 90.00
Sites, in units of the cell vectors:
1 Mn 0.000 0.000 0.000
2 Mn 0.000 0.500 0.000
3 Mn 0.500 0.000 0.500
4 Mn 0.500 0.500 0.500
5 Te 0.008 0.250 0.487
6 Te 0.492 0.750 0.987
7 Te 0.508 0.250 0.013
8 Te 0.992 0.750 0.513
9 O 0.065 0.750 0.174
10 O 0.178 0.572 0.639
11 O 0.178 0.928 0.639
12 O 0.322 0.072 0.139
13 O 0.322 0.428 0.139
14 O 0.435 0.250 0.674
15 O 0.565 0.750 0.326
16 O 0.678 0.572 0.861
17 O 0.678 0.928 0.861
18 O 0.822 0.072 0.361
19 O 0.822 0.428 0.361
20 O 0.935 0.250 0.826

* DFT total energy: -6.42 eV per atom


Entry 3:
Below is a relaxed Mn4TeO8 crystal, with properties calculated at the PBE+U level.

abc: 6.275 6.275 6.402
angles: 120.20 120.20 59.01
Sites, in units of the cell vectors:
1 Mn 0.000 0.000 0.000
2 Mn 0.000 0.500 0.000
3 Mn 0.500 0.000 0.000
4 Mn 0.500 0.500 0.500
5 Te 0.500 0.500 0.000
6 O 0.249 0.249 0.185
7 O 0.275 0.720 0.216
8 O 0.279 0.279 0.809
9 O 0.280 0.725 0.784
10 O 0.720 0.275 0.216
11 O 0.721 0.721 0.191
12 O 0.725 0.280 0.784
13 O 0.751 0.751 0.815

* energy above the most stable polymorph in this dataset: 0 meV/atom


Entry 4:
Below is a relaxed Mn3TeO6 crystal, with properties calculated at the PBE+U level.

abc: 6.506 6.506 6.506
angles: 89.79 89.79 89.79
Sites, in units of the cell vectors:
1 Mn 0.015 0.750 0.485
2 Mn 0.250 0.515 0.985
3 Mn 0.485 0.015 0.750
4 Mn 0.515 0.985 0.250
5 Mn 0.750 0.485 0.015
6 Mn 0.985 0.250 0.515
7 Te 0.000 0.000 0.000
8 Te 0.500 0.500 0.500
9 O 0.011 0.299 0.981
10 O 0.019 0.989 0.701
11 O 0.201 0.489 0.519
12 O 0.299 0.981 0.011
13 O 0.481 0.799 0.511
14 O 0.489 0.519 0.201
15 O 0.511 0.481 0.799
16 O 0.519 0.201 0.489
17 O 0.701 0.019 0.989
18 O 0.799 0.511 0.481
19 O 0.981 0.011 0.299
20 O 0.989 0.701 0.019

* energy above the most stable polymorph in this dataset: 59 meV/atom


Entry 5:
Below is a relaxed Ti3Mn3Te2O16 crystal, with properties calculated at the PBE+U level.

abc: 6.194 6.194 9.279
angles: 92.66 92.66 57.94
Sites, in units of the cell vectors:
1 Ti 0.000 0.000 0.000
2 Ti 0.325 0.823 0.511
3 Ti 0.823 0.325 0.511
4 Mn 0.330 0.330 0.508
5 Mn 0.506 0.998 0.014
6 Mn 0.998 0.506 0.014
7 Te 0.495 0.495 0.229
8 Te 0.827 0.827 0.730
9 O 0.123 0.703 0.863
10 O 0.148 0.148 0.425
11 O 0.163 0.163 0.928
12 O 0.215 0.658 0.366
13 O 0.330 0.798 0.113
14 O 0.334 0.334 0.125
15 O 0.513 0.977 0.619
16 O 0.516 0.516 0.615
17 O 0.637 0.637 0.374
18 O 0.658 0.215 0.366
19 O 0.696 0.696 0.874
20 O 0.703 0.123 0.863
21 O 0.798 0.330 0.113
22 O 0.839 0.839 0.106
23 O 0.977 0.513 0.619
24 O 0.978 0.978 0.608

* DFT total energy: -7.34 eV per atom


Entry 6:
Below is a relaxed Ti2Mn3Te3O16 crystal, with properties calculated at the PBE+U level.

abc: 6.431 6.431 9.467
angles: 94.45 94.45 56.82
Sites, in units of the cell vectors:
1 Ti 0.000 0.000 0.000
2 Ti 0.689 0.689 0.448
3 Mn 0.186 0.688 0.269
4 Mn 0.561 0.561 0.758
5 Mn 0.688 0.186 0.269
6 Te 0.058 0.557 0.736
7 Te 0.187 0.187 0.244
8 Te 0.557 0.058 0.736
9 O 0.004 0.516 0.358
10 O 0.053 0.053 0.356
11 O 0.199 0.718 0.848
12 O 0.246 0.246 0.843
13 O 0.309 0.897 0.109
14 O 0.337 0.337 0.164
15 O 0.377 0.377 0.629
16 O 0.439 0.884 0.622
17 O 0.516 0.004 0.358
18 O 0.541 0.541 0.378
19 O 0.718 0.199 0.848
20 O 0.750 0.750 0.853
21 O 0.862 0.862 0.614
22 O 0.884 0.439 0.622
23 O 0.887 0.887 0.112
24 O 0.897 0.309 0.109

* DFT total energy: -6.86 eV per atom


What did the first record say?
Below is a relaxed MnTeO3 crystal, with properties calculated at the PBE+U level.

abc: 4.138 4.138 4.138
angles: 90.00 90.00 90.00
Sites, in units of the cell vectors:
1 Mn 0.000 0.000 0.000
2 Te 0.500 0.500 0.500
3 O 0.000 0.500 0.500
4 O 0.500 0.000 0.500
5 O 0.500 0.500 0.000

* DFT total energy: -5.76 eV per atom


Q: What is the formula in the second record?
A: MnTeO3